Record 1
Material: CaSeBr2
Method: DFT, GGA-PBEsol
State: optimized geometry

**Excess energy over the best structure of this formula in the dataset**: 0 meV per atom
**Calculated total energy**: -3.56 eV/atom
**Raw formation energy**: -1.130 eV/atom

a b c (Å): 5.2241 4.2842 5.5462
angles (deg): 90.00 101.29 90.00
Sites, in units of the cell vectors:
1 Ca 0.0000 0.0000 0.0000
2 Se 0.3765 0.5000 0.1578
3 Br 0.0168 0.0000 0.5017
4 Br 0.5953 0.5000 0.8147

Record 2
Material: ZrFeBr2
Method: DFT, GGA-PBEsol
State: optimized geometry

**Fermi-level density of states**: 1.00 states/eV/atom
**Excess energy over the best structure of this formula in the dataset**: 52 meV per atom
**Calculated total energy**: -5.25 eV/atom
**Raw formation energy**: 0.196 eV/atom

a b c (Å): 3.8120 3.8120 10.2826
angles (deg): 90.00 90.00 90.00
Sites, in units of the cell vectors:
1 Zr 0.0000 0.0000 0.0000
2 Zr 0.5000 0.5000 0.5000
3 Fe 0.0000 0.5000 0.7500
4 Fe 0.5000 0.0000 0.2500
5 Br 0.0000 0.0000 0.5000
6 Br 0.0000 0.5000 0.2500
7 Br 0.5000 0.0000 0.7500
8 Br 0.5000 0.5000 0.0000

Record 3
Material: AlAs2Rh
Method: DFT, GGA-PBEsol
State: optimized geometry

**Calculated formation energy**: -90.6 meV per atom
**Fermi-level density of states**: 0.44 states/eV/atom
**Calculated total energy**: -5.70 eV/atom

a b c (Å): 2.8302 4.6145 10.1069
angles (deg): 90.00 90.00 90.00
Sites, in units of the cell vectors:
1 Al 0.0000 0.0000 0.0000
2 Al 0.5000 0.5000 0.5000
3 As 0.0000 0.0000 0.5782
4 As 0.0000 0.5000 0.7550
5 As 0.5000 0.0000 0.2550
6 As 0.5000 0.5000 0.0782
7 Rh 0.0000 0.5000 0.2907
8 Rh 0.5000 0.0000 0.7907

Record 4
Material: NiH14C3NCl3O2
Method: DFT, GGA-PBEsol
State: optimized geometry

**Calculated total energy**: -4.95 eV/atom

a b c (Å): 16.3785 7.0492 7.8376
angles (deg): 90.00 90.00 90.00
Sites, in units of the cell vectors:
1 Ni 0.0000 0.0000 0.0000
2 Ni 0.0000 0.5000 0.0000
3 Ni 0.5000 0.0000 0.5000
4 Ni 0.5000 0.5000 0.5000
5 H 0.0186 0.0991 0.3178
6 H 0.0186 0.4009 0.3178
7 H 0.0430 0.0746 0.6839
8 H 0.0430 0.4254 0.6839
9 H 0.1219 0.7500 0.7504
10 H 0.1364 0.6218 0.4704
11 H 0.1364 0.8782 0.4704
12 H 0.1902 0.0480 0.7081
13 H 0.1902 0.4520 0.7081
14 H 0.2138 0.0803 0.2040
15 H 0.2138 0.4197 0.2040
16 H 0.2239 0.5790 0.8948
17 H 0.2239 0.9210 0.8948
18 H 0.2313 0.7500 0.4498
19 H 0.2687 0.2500 0.9498
20 H 0.2761 0.0790 0.3948
21 H 0.2761 0.4210 0.3948
22 H 0.2862 0.5803 0.7040
23 H 0.2862 0.9197 0.7040
24 H 0.3098 0.5480 0.2081
25 H 0.3098 0.9520 0.2081
26 H 0.3636 0.1218 0.9704
27 H 0.3636 0.3782 0.9704
28 H 0.3781 0.2500 0.2504
29 H 0.4570 0.5746 0.1839
30 H 0.4570 0.9254 0.1839
31 H 0.4814 0.5991 0.8178
32 H 0.4814 0.9009 0.8178
33 H 0.5186 0.0991 0.1822
34 H 0.5186 0.4009 0.1822
35 H 0.5430 0.0746 0.8161
36 H 0.5430 0.4254 0.8161
37 H 0.6219 0.7500 0.7496
38 H 0.6364 0.6218 0.0296
39 H 0.6364 0.8782 0.0296
40 H 0.6902 0.0480 0.7919
41 H 0.6902 0.4520 0.7919
42 H 0.7138 0.0803 0.2960
43 H 0.7138 0.4197 0.2960
44 H 0.7239 0.5790 0.6052
45 H 0.7239 0.9210 0.6052
46 H 0.7313 0.7500 0.0502
47 H 0.7687 0.2500 0.5502
48 H 0.7761 0.0790 0.1052
49 H 0.7761 0.4210 0.1052
50 H 0.7862 0.5803 0.7960
51 H 0.7862 0.9197 0.7960
52 H 0.8098 0.5480 0.2919
53 H 0.8098 0.9520 0.2919
54 H 0.8636 0.1218 0.5296
55 H 0.8636 0.3782 0.5296
56 H 0.8781 0.2500 0.2496
57 H 0.9570 0.5746 0.3161
58 H 0.9570 0.9254 0.3161
59 H 0.9814 0.5991 0.6822
60 H 0.9814 0.9009 0.6822
61 C 0.1701 0.7500 0.5080
62 C 0.2235 0.5773 0.7546
63 C 0.2235 0.9227 0.7546
64 C 0.2765 0.0773 0.2546
65 C 0.2765 0.4227 0.2546
66 C 0.3299 0.2500 0.0080
67 C 0.6701 0.7500 0.9920
68 C 0.7235 0.5773 0.7454
69 C 0.7235 0.9227 0.7454
70 C 0.7765 0.0773 0.2454
71 C 0.7765 0.4227 0.2454
72 C 0.8299 0.2500 0.4920
73 N 0.1805 0.7500 0.6957
74 N 0.3195 0.2500 0.1957
75 N 0.6805 0.7500 0.8043
76 N 0.8195 0.2500 0.3043
77 Cl 0.0902 0.2500 0.4950
78 Cl 0.0929 0.7500 0.0731
79 Cl 0.0966 0.2500 0.0112
80 Cl 0.4034 0.7500 0.5112
81 Cl 0.4071 0.2500 0.5731
82 Cl 0.4098 0.7500 0.9950
83 Cl 0.5902 0.2500 0.0050
84 Cl 0.5929 0.7500 0.4269
85 Cl 0.5966 0.2500 0.4888
86 Cl 0.9034 0.7500 0.9888
87 Cl 0.9071 0.2500 0.9269
88 Cl 0.9098 0.7500 0.5050
89 O 0.0271 0.5416 0.7490
90 O 0.0271 0.9584 0.7490
91 O 0.4729 0.0416 0.2490
92 O 0.4729 0.4584 0.2490
93 O 0.5271 0.5416 0.7510
94 O 0.5271 0.9584 0.7510
95 O 0.9729 0.0416 0.2510
96 O 0.9729 0.4584 0.2510

Record 5
Material: FeMoRh2
Method: DFT, GGA-PBEsol
State: optimized geometry

**Calculated formation energy**: 4.6 meV per atom
**Fermi-level density of states**: 1.09 states/eV/atom
**Excess energy over the best structure of this formula in the dataset**: 140 meV per atom
**Calculated total energy**: -9.25 eV/atom

a b c (Å): 4.0467 2.6781 9.8451
angles (deg): 90.00 90.00 90.00
Sites, in units of the cell vectors:
1 Fe 0.0000 0.0000 0.0000
2 Fe 0.0000 0.5000 0.5000
3 Mo 0.5000 0.0000 0.1338
4 Mo 0.5000 0.5000 0.6338
5 Rh 0.0000 0.0000 0.7422
6 Rh 0.0000 0.5000 0.2422
7 Rh 0.5000 0.0000 0.4000
8 Rh 0.5000 0.5000 0.9000

Record 6
Material: KTe2W
Method: DFT, GGA-PBEsol
State: optimized geometry

**Fermi-level density of states**: 1.13 states/eV/atom
**Calculated total energy**: -5.27 eV/atom
**Raw formation energy**: 0.231 eV/atom

a b c (Å): 8.0341 8.0341 8.4127
angles (deg): 90.00 90.00 90.00
Sites, in units of the cell vectors:
1 K 0.0000 0.0000 0.0000
2 K 0.0000 0.5000 0.2500
3 K 0.5000 0.0000 0.7500
4 K 0.5000 0.5000 0.5000
5 Te 0.1585 0.7500 0.6250
6 Te 0.2500 0.1585 0.3750
7 Te 0.2500 0.3415 0.8750
8 Te 0.3415 0.7500 0.1250
9 Te 0.6585 0.2500 0.1250
10 Te 0.7500 0.6585 0.8750
11 Te 0.7500 0.8415 0.3750
12 Te 0.8415 0.2500 0.6250
13 W 0.0000 0.0000 0.5000
14 W 0.0000 0.5000 0.7500
15 W 0.5000 0.0000 0.2500
16 W 0.5000 0.5000 0.0000

Record 7
Material: SrNiAu2F
Method: DFT, GGA-PBEsol
State: optimized geometry

**Fermi-level density of states**: 0.37 states/eV/atom
**Calculated total energy**: -4.21 eV/atom
**Raw formation energy**: -0.656 eV/atom

a b c (Å): 4.9251 4.9251 4.0070
angles (deg): 90.00 90.00 90.00
Sites, in units of the cell vectors:
1 Sr 0.0000 0.0000 0.0000
2 Ni 0.5000 0.5000 0.5000
3 Au 0.0000 0.5000 0.5000
4 Au 0.5000 0.0000 0.5000
5 F 0.5000 0.5000 0.0000

Record 8
Material: AlCd2Se
Method: DFT, GGA-PBEsol
State: optimized geometry

**Fermi-level density of states**: 0.29 states/eV/atom
**Excess energy over the best structure of this formula in the dataset**: 219 meV per atom
**Calculated total energy**: -2.56 eV/atom
**Raw formation energy**: 0.020 eV/atom

a b c (Å): 5.5032 8.1591 3.7549
angles (deg): 90.00 90.00 90.00
Sites, in units of the cell vectors:
1 Al 0.0000 0.0000 0.0000
2 Al 0.5000 0.5000 0.0000
3 Cd 0.2500 0.2500 0.5000
4 Cd 0.2500 0.7500 0.5000
5 Cd 0.7500 0.2500 0.5000
6 Cd 0.7500 0.7500 0.5000
7 Se 0.0000 0.5000 0.0000
8 Se 0.5000 0.0000 0.0000

Record 9
Material: CaMg3
Method: DFT, GGA-PBEsol
State: optimized geometry

**Calculated formation energy**: -58.9 meV per atom
**Fermi-level density of states**: 0.60 states/eV/atom
**Calculated total energy**: -1.88 eV/atom

a b c (Å): 6.7797 6.7797 5.2788
angles (deg): 90.00 90.00 120.00
Sites, in units of the cell vectors:
1 Ca 0.3333 0.6667 0.2500
2 Ca 0.6667 0.3333 0.7500
3 Mg 0.1594 0.3187 0.7500
4 Mg 0.1594 0.8406 0.7500
5 Mg 0.3187 0.1594 0.2500
6 Mg 0.6813 0.8406 0.7500
7 Mg 0.8406 0.1594 0.2500
8 Mg 0.8406 0.6813 0.2500

Record 10
Material: CrSb2W
Method: DFT, GGA-PBEsol
State: optimized geometry

**Fermi-level density of states**: 0.74 states/eV/atom
**Excess energy over the best structure of this formula in the dataset**: 108 meV per atom
**Calculated total energy**: -7.83 eV/atom
**Raw formation energy**: 0.458 eV/atom

a b c (Å): 9.4733 3.1962 4.9000
angles (deg): 90.00 109.06 90.00
Sites, in units of the cell vectors:
1 Cr 0.0000 0.0000 0.0000
2 Cr 0.5000 0.5000 0.0000
3 Sb 0.2530 0.0000 0.8680
4 Sb 0.4722 0.0000 0.5047
5 Sb 0.7530 0.5000 0.8680
6 Sb 0.9722 0.5000 0.5047
7 W 0.2180 0.5000 0.3466
8 W 0.7180 0.0000 0.3466

Record 11
Material: TlCo2W
Method: DFT, GGA-PBEsol
State: optimized geometry

**Calculated formation energy**: 553.9 meV per atom
**Fermi-level density of states**: 1.26 states/eV/atom
**Calculated total energy**: -7.42 eV/atom

a b c (Å): 4.4711 4.4711 2.7913
angles (deg): 90.00 90.00 90.00
Sites, in units of the cell vectors:
1 Tl 0.0000 0.0000 0.0000
2 Co 0.0000 0.5000 0.5000
3 Co 0.5000 0.0000 0.5000
4 W 0.5000 0.5000 0.0000

Record 12
Material: CrAsBr2
Method: DFT, GGA-PBEsol
State: optimized geometry

**Fermi-level density of states**: 0.57 states/eV/atom
**Calculated total energy**: -4.18 eV/atom
**Raw formation energy**: 0.587 eV/atom

a b c (Å): 6.8451 6.8451 6.8451
angles (deg): 90.00 90.00 90.00
Sites, in units of the cell vectors:
1 Cr 0.0000 0.0000 0.0000
2 Cr 0.0000 0.5000 0.5000
3 Cr 0.5000 0.0000 0.5000
4 Cr 0.5000 0.5000 0.0000
5 As 0.2500 0.2500 0.2500
6 As 0.2500 0.7500 0.7500
7 As 0.7500 0.2500 0.7500
8 As 0.7500 0.7500 0.2500
9 Br 0.0000 0.0000 0.5000
10 Br 0.0000 0.5000 0.0000
11 Br 0.2500 0.2500 0.7500
12 Br 0.2500 0.7500 0.2500
13 Br 0.5000 0.0000 0.0000
14 Br 0.5000 0.5000 0.5000
15 Br 0.7500 0.2500 0.2500
16 Br 0.7500 0.7500 0.7500